Here is BaAcSnI after structural relaxation from Alexandria. Energies are from PBE.

a b c (Å): 8.4499 8.4499 8.4499
angles (deg): 90.00 90.00 90.00
Space group F-43m (No. 216)
Asymmetric unit:
1 Ba 0.0000 0.0000 0.0000
2 Ac 0.0000 0.0000 0.5000
3 Sn 0.2500 0.2500 0.7500
4 I 0.2500 0.2500 0.2500

Values from the calculation:
formation energy from raw total energies	-0.860	eV/atom


Here is RbNpB2O8 after structural relaxation from Alexandria. Energies are from PBE.

a b c (Å): 8.6767 5.4274 7.6432
angles (deg): 90.00 113.72 90.00
Space group C2/m (No. 12)
Asymmetric unit:
1 Rb 0.0000 0.0000 0.0000
2 Np 0.0000 0.0000 0.5000
3 B 0.0688 0.5000 0.2778
4 O 0.0122 0.2763 0.6944
5 O 0.0816 0.5000 0.0810
6 O 0.2500 0.0000 0.5953

Values from the calculation:
formation energy from raw total energies	-2.059	eV/atom


Here is InRu2Rh after structural relaxation from Alexandria. Energies are from PBE.

a b c (Å): 3.9608 3.9608 7.8663
angles (deg): 90.00 90.00 90.00
Space group I-4m2 (No. 119)
Asymmetric unit:
1 In 0.0000 0.0000 0.0000
2 Ru 0.0000 0.0000 0.5000
3 Ru 0.0000 0.5000 0.2500
4 Rh 0.0000 0.5000 0.7500

Values from the calculation:
calculated formation energy	0.11	eV per atom


Here is MnTcSe2 after structural relaxation from Alexandria. Energies are from PBE.

a b c (Å): 3.2682 3.2682 7.1075
angles (deg): 90.00 90.00 90.00
Space group P4mm (No. 99)
Asymmetric unit:
1 Mn 0.0000 0.0000 0.0000
2 Tc 0.5000 0.5000 0.7716
3 Se 0.0000 0.0000 0.6029
4 Se 0.5000 0.5000 0.1399

Values from the calculation:
energy above the lowest structure with this stoichiometry	0.147	eV/atom
formation energy from raw total energies	-0.155	eV/atom


Listing VASP energy for the structures above in their given order: -3.76; -7.64; -7.05; -6.78 eV per atom.